# PBE PrNd2DySb4, optimized geometry
# - E_tot (eV per atom) = -5.60
data_PrNd2DySb4
_cell_length_a 7.7901
_cell_length_b 4.5020
_cell_length_c 7.7925
_cell_angle_alpha 90.00
_cell_angle_beta 109.48
_cell_angle_gamma 90.00
_symmetry_space_group_name_H-M 'P 1 2/m 1'
_symmetry_Int_Tables_number 10
loop_
_symmetry_equiv_pos_as_xyz
'x,y,z'
'-x,-y,-z'
'-x,y,-z'
'x,-y,z'
loop_
_atom_site_label
_atom_site_type_symbol
_atom_site_fract_x
_atom_site_fract_y
_atom_site_fract_z
Pr1 Pr 0.0000 0.0000 0.0000
Nd1 Nd 0.0000 0.5000 0.5000
Nd2 Nd 0.5000 0.0000 0.5000
Dy1 Dy 0.5000 0.5000 0.0000
Sb1 Sb 0.2544 0.5000 0.2483
Sb2 Sb 0.2566 0.0000 0.7554

***

# PBE Pr4Nd2DySc, optimized geometry
# - DFT formation energy (meV per atom) = 29
# - E_tot (eV per atom) = -4.92
data_Pr4Nd2DySc
_cell_length_a 5.1358
_cell_length_b 5.1657
_cell_length_c 10.1770
_cell_angle_alpha 90.00
_cell_angle_beta 90.04
_cell_angle_gamma 90.00
_symmetry_space_group_name_H-M 'P 1 2/m 1'
_symmetry_Int_Tables_number 10
loop_
_symmetry_equiv_pos_as_xyz
'x,y,z'
'-x,-y,-z'
'-x,y,-z'
'x,-y,z'
loop_
_atom_site_label
_atom_site_type_symbol
_atom_site_fract_x
_atom_site_fract_y
_atom_site_fract_z
Pr1 Pr 0.9995 0.0000 0.2450
Pr2 Pr 0.4999 0.5000 0.2459
Nd1 Nd 0.0000 0.5000 0.0000
Nd2 Nd 0.5000 0.0000 0.5000
Dy1 Dy 0.0000 0.5000 0.5000
Sc1 Sc 0.5000 0.0000 0.0000

***

# PBE PrNd2Dy4Sc, optimized geometry
# - DFT formation energy (meV per atom) = 404
# - E_tot (eV per atom) = -4.48
data_PrNd2Dy4Sc
_cell_length_a 6.7810
_cell_length_b 11.7825
_cell_length_c 13.1508
_cell_angle_alpha 90.00
_cell_angle_beta 90.00
_cell_angle_gamma 90.00
_symmetry_space_group_name_H-M 'I m m a'
_symmetry_Int_Tables_number 74
_symmetry_space_group_name_Hall '-I 2b 2'
loop_
_atom_site_label
_atom_site_type_symbol
_atom_site_fract_x
_atom_site_fract_y
_atom_site_fract_z
Pr1 Pr 0.0000 0.0000 0.0000
Nd1 Nd 0.0000 0.0000 0.5000
Nd2 Nd 0.2500 0.2500 0.2500
Dy1 Dy 0.0000 0.0160 0.7499
Dy2 Dy 0.2499 0.2500 0.5146
Sc1 Sc 0.2500 0.2500 0.7500

***

# PBE Pr2Nd5DySc, optimized geometry
# - DFT formation energy (meV per atom) = 274
# - E_tot (eV per atom) = -4.65
data_Pr2Nd5DySc
_cell_length_a 8.5018
_cell_length_b 8.5018
_cell_length_c 17.0954
_cell_angle_alpha 90.00
_cell_angle_beta 90.00
_cell_angle_gamma 90.00
_symmetry_space_group_name_H-M 'I 4/m c m'
_symmetry_Int_Tables_number 140
_symmetry_space_group_name_Hall '-I 4 2c'
loop_
_atom_site_label
_atom_site_type_symbol
_atom_site_fract_x
_atom_site_fract_y
_atom_site_fract_z
Pr1 Pr 0.1250 0.3750 0.0000
Nd1 Nd 0.0000 0.0000 0.0000
Nd2 Nd 0.2186 0.2814 0.3536
Dy1 Dy 0.0000 0.0000 0.2500
Sc1 Sc 0.0000 0.5000 0.2500

***

# PBE PrNdDy3Sc, optimized geometry
# - DFT formation energy (meV per atom) = 42
# - E_tot (eV per atom) = -4.91
data_PrNdDy3Sc
_cell_length_a 5.0277
_cell_length_b 15.0495
_cell_length_c 10.0348
_cell_angle_alpha 90.00
_cell_angle_beta 90.00
_cell_angle_gamma 90.00
_symmetry_space_group_name_H-M 'C m c m'
_symmetry_Int_Tables_number 63
_symmetry_space_group_name_Hall '-C 2c 2'
loop_
_atom_site_label
_atom_site_type_symbol
_atom_site_fract_x
_atom_site_fract_y
_atom_site_fract_z
Pr1 Pr 0.0000 0.0000 0.0000
Nd1 Nd 0.0000 0.4978 0.2500
Dy1 Dy 0.0000 0.1708 0.2500
Dy2 Dy 0.0000 0.3305 0.0003
Sc1 Sc 0.0000 0.1690 0.7500

***

# PBE PrNdDy2Sc, optimized geometry
# - DFT formation energy (meV per atom) = 48
# - E_tot (eV per atom) = -4.97
data_PrNdDy2Sc
_cell_length_a 7.9024
_cell_length_b 5.0453
_cell_length_c 7.9385
_cell_angle_alpha 90.00
_cell_angle_beta 90.24
_cell_angle_gamma 90.00
_symmetry_space_group_name_H-M 'P 1 21/m 1'
_symmetry_Int_Tables_number 11
loop_
_symmetry_equiv_pos_as_xyz
'x,y,z'
'-x,-y,-z'
'-x,y+1/2,-z'
'x,-y+1/2,z'
loop_
_atom_site_label
_atom_site_type_symbol
_atom_site_fract_x
_atom_site_fract_y
_atom_site_fract_z
Pr1 Pr 0.2437 0.2500 0.2401
Nd1 Nd 0.4442 0.2500 0.6532
Dy1 Dy 0.1459 0.7500 0.5466
Dy2 Dy 0.3390 0.7500 0.9473
Sc1 Sc 0.0476 0.2500 0.8507

***

# PBE PrNdDySc, optimized geometry
# - energy above the most stable polymorph in this dataset (eV per atom) = 0.003
# - DFT formation energy (meV per atom) = 101
# - E_tot (eV per atom) = -5.02
data_PrNdDySc
_cell_length_a 7.9855
_cell_length_b 7.9855
_cell_length_c 7.9855
_cell_angle_alpha 90.00
_cell_angle_beta 90.00
_cell_angle_gamma 90.00
_symmetry_space_group_name_H-M 'F -4 3 m'
_symmetry_Int_Tables_number 216
_symmetry_space_group_name_Hall 'F -4 2 3'
loop_
_atom_site_label
_atom_site_type_symbol
_atom_site_fract_x
_atom_site_fract_y
_atom_site_fract_z
Pr1 Pr 0.0000 0.0000 0.0000
Nd1 Nd 0.0000 0.0000 0.5000
Dy1 Dy 0.2500 0.2500 0.7500
Sc1 Sc 0.2500 0.2500 0.2500

***

# PBE Pr4NdDy2Sc, optimized geometry
# - DFT formation energy (meV per atom) = 105
# - E_tot (eV per atom) = -4.82
data_Pr4NdDy2Sc
_cell_length_a 5.9545
_cell_length_b 5.9545
_cell_length_c 7.5065
_cell_angle_alpha 90.00
_cell_angle_beta 90.00
_cell_angle_gamma 90.00
_symmetry_space_group_name_H-M 'P 4/m m m'
_symmetry_Int_Tables_number 123
_symmetry_space_group_name_Hall '-P 4 2'
loop_
_atom_site_label
_atom_site_type_symbol
_atom_site_fract_x
_atom_site_fract_y
_atom_site_fract_z
Pr1 Pr 0.0000 0.5000 0.2450
Nd1 Nd 0.0000 0.0000 0.0000
Dy1 Dy 0.0000 0.0000 0.5000
Dy2 Dy 0.5000 0.5000 0.5000
Sc1 Sc 0.5000 0.5000 0.0000

***

# PBE PrNd5Dy2Sc, optimized geometry
# - DFT formation energy (meV per atom) = 130
# - E_tot (eV per atom) = -4.78
data_PrNd5Dy2Sc
_cell_length_a 5.3949
_cell_length_b 22.0321
_cell_length_c 10.3169
_cell_angle_alpha 90.00
_cell_angle_beta 90.00
_cell_angle_gamma 90.00
_symmetry_space_group_name_H-M 'C m c m'
_symmetry_Int_Tables_number 63
_symmetry_space_group_name_Hall '-C 2c 2'
loop_
_atom_site_label
_atom_site_type_symbol
_atom_site_fract_x
_atom_site_fract_y
_atom_site_fract_z
Pr1 Pr 0.0000 0.1012 0.2500
Nd1 Nd 0.0000 0.0000 0.0000
Nd2 Nd 0.0000 0.1261 0.7500
Nd3 Nd 0.0000 0.2219 0.0616
Nd4 Nd 0.0000 0.4977 0.2500
Dy1 Dy 0.0000 0.3834 0.9995
Sc1 Sc 0.0000 0.2839 0.7500

***

# PBE PrNdDySc, optimized geometry
# - energy above the most stable polymorph in this dataset (eV per atom) = 0.000
# - DFT formation energy (meV per atom) = 98
# - E_tot (eV per atom) = -5.02
data_PrNdDySc
_cell_length_a 12.2939
_cell_length_b 5.7445
_cell_length_c 3.8043
_cell_angle_alpha 90.00
_cell_angle_beta 107.81
_cell_angle_gamma 90.00
_symmetry_space_group_name_H-M 'C 1 m 1'
_symmetry_Int_Tables_number 8
loop_
_symmetry_equiv_pos_as_xyz
'x,y,z'
'x,-y,z'
'x+1/2,y+1/2,z'
'x+1/2,-y+1/2,z'
loop_
_atom_site_label
_atom_site_type_symbol
_atom_site_fract_x
_atom_site_fract_y
_atom_site_fract_z
Pr1 Pr 0.0000 0.0000 0.0000
Nd1 Nd 0.2745 0.0000 0.8054
Dy1 Dy 0.0406 0.5000 0.5456
Sc1 Sc 0.2674 0.5000 0.2812

***

# PBE Pr2NdDy5Sc, optimized geometry
# - DFT formation energy (meV per atom) = 157
# - E_tot (eV per atom) = -4.70
data_Pr2NdDy5Sc
_cell_length_a 5.6206
_cell_length_b 19.8266
_cell_length_c 10.5056
_cell_angle_alpha 90.00
_cell_angle_beta 90.00
_cell_angle_gamma 90.00
_symmetry_space_group_name_H-M 'C m c 21'
_symmetry_Int_Tables_number 36
loop_
_symmetry_equiv_pos_as_xyz
'x,y,z'
'-x,-y,z+1/2'
'-x,y,z'
'x,-y,z+1/2'
'x+1/2,y+1/2,z'
'-x+1/2,-y+1/2,z+1/2'
'-x+1/2,y+1/2,z'
'x+1/2,-y+1/2,z+1/2'
loop_
_atom_site_label
_atom_site_type_symbol
_atom_site_fract_x
_atom_site_fract_y
_atom_site_fract_z
Pr1 Pr 0.0000 0.1130 0.0000
Pr2 Pr 0.0000 0.1152 0.4188
Nd1 Nd 0.0000 0.4125 0.1444
Dy1 Dy 0.0000 0.0169 0.7047
Dy2 Dy 0.0000 0.2768 0.0081
Dy3 Dy 0.0000 0.2964 0.3888
Dy4 Dy 0.0000 0.3745 0.7039
Dy5 Dy 0.0000 0.4827 0.4256
Sc1 Sc 0.0000 0.1970 0.6996

***

# PBE PrNd2DySe5, optimized geometry
# - E_tot (eV per atom) = -5.32
data_PrNd2DySe5
_cell_length_a 5.1483
_cell_length_b 5.1483
_cell_length_c 11.0616
_cell_angle_alpha 90.00
_cell_angle_beta 90.00
_cell_angle_gamma 90.00
_symmetry_space_group_name_H-M 'P 4/m m m'
_symmetry_Int_Tables_number 123
_symmetry_space_group_name_Hall '-P 4 2'
loop_
_atom_site_label
_atom_site_type_symbol
_atom_site_fract_x
_atom_site_fract_y
_atom_site_fract_z
Pr1 Pr 0.0000 0.0000 0.0000
Nd1 Nd 0.5000 0.5000 0.3327
Dy1 Dy 0.0000 0.0000 0.5000
Se1 Se 0.0000 0.0000 0.2515
Se2 Se 0.0000 0.5000 0.5000
Se3 Se 0.5000 0.5000 0.0000